Record 1
Computed, not measured: a relaxed HfGe3Ir crystal at the GGA-PBE level of DFT.

Space-group type: Pm-3m
Density of states at the Fermi level (states/eV/f.u.): 5.3
E_form (eV per atom): 0.5927
Energy (eV per atom): -5.94

Unit cell a=4.7935 b=4.7935 c=4.7935 alpha=90.00 beta=90.00 gamma=90.00
Last column: nearest neighbours and their distance in Å.
Element x y z (fractional)
Hf1 0.5000 0.5000 0.5000  12 Ge 3.39
Ge1 0.5000 0.0000 0.0000  2 Ir 2.40
Ge2 0.0000 0.0000 0.5000  2 Ir 2.40
Ge3 0.0000 0.5000 0.0000  2 Ir 2.40
Ir1 0.0000 0.0000 0.0000  6 Ge 2.40

=====

Record 2
Computed, not measured: a relaxed LaYOs2 crystal at the GGA-PBE level of DFT.

Space-group type: I-42d
Density of states at the Fermi level (states/eV/f.u.): 5.4
E_form (eV per atom): 0.5642
Energy (eV per atom): -7.90

Unit cell a=7.7265 b=7.7265 c=6.1965 alpha=51.43 beta=51.43 gamma=90.00
Last column: nearest neighbours and their distance in Å.
Element x y z (fractional)
Os1 0.3750 0.3745 0.7500  2 La 2.83, 2 Y 2.83, 2 Os 2.92
Os2 0.6255 0.1250 0.2500  2 La 2.83, 2 Y 2.83, 2 Os 2.92
Os3 0.1245 0.6250 0.2500  2 La 2.83, 2 Y 2.83, 2 Os 2.92
Os4 0.8750 0.8755 0.7500  2 La 2.83, 2 Y 2.83, 2 Os 2.92
Y1 0.2500 0.7500 0.5000  4 Os 2.83, 2 La 2.92
Y2 0.5000 0.5000 0.0000  4 Os 2.83, 2 La 2.92
La1 0.0000 0.0000 0.0000  4 Os 2.83, 2 Y 2.92
La2 0.7500 0.2500 0.5000  4 Os 2.83, 2 Y 2.92

=====

Record 3
Computed, not measured: a relaxed LiZn3Bi crystal at the GGA-PBE level of DFT.

Space-group type: Pm-3m
Density of states at the Fermi level (states/eV/f.u.): 2.3
E_form (eV per atom): 0.3414
Energy (eV per atom): -1.58

Unit cell a=4.6768 b=4.6768 c=4.6768 alpha=90.00 beta=90.00 gamma=90.00
Last column: nearest neighbours and their distance in Å.
Element x y z (fractional)
Zn1 0.0000 0.0000 0.5000  2 Li 2.34
Zn2 0.5000 0.0000 0.0000  2 Li 2.34
Zn3 0.0000 0.5000 0.0000  2 Li 2.34
Bi1 0.5000 0.5000 0.5000  12 Zn 3.31
Li1 0.0000 0.0000 0.0000  6 Zn 2.34

=====

Record 4
Computed, not measured: a relaxed Mg2ScIn crystal at the GGA-PBE level of DFT.

Space-group type: Pmmm
Density of states at the Fermi level (states/eV/f.u.): 3.5
E_form (eV per atom): -0.0892
Energy (eV per atom): -3.15

Unit cell a=3.2717 b=4.5288 c=6.2816 alpha=90.00 beta=90.00 gamma=90.00
Last column: nearest neighbours and their distance in Å.
Element x y z (fractional)
Mg1 0.0000 0.0000 0.0024  4 Mg 3.11-3.27, 4 Sc 3.20, 4 In 3.21
Mg2 0.0000 0.0000 0.4976  4 Mg 3.11-3.27, 4 Sc 3.20, 4 In 3.21
In1 0.5000 0.5000 0.7500  2 Sc 3.14, 8 Mg 3.21, 2 In 3.27
Sc1 0.5000 0.5000 0.2500  2 In 3.14, 8 Mg 3.20, 2 Sc 3.27